# NaGa2BIr2, optimized geometry, DFT PBE-GGA
# Raw total energy, eV per atom: -5.605
# Formation enthalpy at 0 K, meV per atom: -309.7
data_NaGa2BIr2
_space_group_name_H-M_alt 'P 4/m m m'
_space_group_IT_number 123
_space_group_name_Hall '-P 4 2'
_cell_length_a 4.127
_cell_length_b 4.127
_cell_length_c 5.788
_cell_angle_alpha 90.00
_cell_angle_beta 90.00
_cell_angle_gamma 90.00
loop_
_atom_site_label
_atom_site_type_symbol
_atom_site_fract_x
_atom_site_fract_y
_atom_site_fract_z
_atom_site_occupancy
Na1 Na 0.000 0.000 0.000 1
Ga1 Ga 0.500 0.500 0.214 1
B1 B 0.000 0.000 0.500 1
Ir1 Ir 0.000 0.500 0.500 1